[1]
Here is a geometry-optimized SiAg2HgSe4 structure from Alexandria via LeMat-Bulk. Energies are from PBE.

Lattice parameters (Å, degrees): 5.9524 5.9522 7.3541 113.85 113.85 90.05
Last column: nearest neighbours and their distance in Å.
Fractional coordinates of all 8 atoms:
Si1 0.4999 0.4999 0.9998  4 Se 2.32
Ag1 0.7502 0.2501 0.5003  4 Se 2.66
Ag2 0.2502 0.7502 0.5003  4 Se 2.66
Hg1 0.0004 0.0004 0.0008  4 Se 2.76
Se1 0.6018 0.6018 0.7658  1 Si 2.32
Se2 0.3983 0.8356 0.2340  1 Si 2.32
Se3 0.8356 0.3983 0.2340  1 Si 2.32
Se4 0.1639 0.1639 0.7657  1 Si 2.32

For the size of the total moment, the calculation gives 0.0000 μB per atom. The symmetry is Fmm2, No. 42. For the energy, the calculation gives -27.4 eV per formula unit. As for the formation energy from raw total energies: -0.257 eV/atom. Its density of states at the Fermi level is 1.66 states/eV/f.u.

***

[2]
Here is a geometry-optimized AcCe2Y structure from Alexandria via LeMat-Bulk. Energies are from PBE.

Lattice parameters (Å, degrees): 5.2456 5.0635 5.0635 90.00 90.00 90.00
Last column: nearest neighbours and their distance in Å.
Fractional coordinates of all 4 atoms:
Y1 0.5000 0.5000 0.5000  4 Ac 3.58, 8 Ce 3.65
Ac1 0.5000 0.0000 0.0000  4 Y 3.58, 8 Ce 3.65
Ce1 0.0000 0.0000 0.5000  4 Ce 3.58, 4 Ac 3.65, 4 Y 3.65
Ce2 0.0000 0.5000 0.0000  4 Ce 3.58, 4 Ac 3.65, 4 Y 3.65

For the size of the total moment, the calculation gives 0.5062 μB per atom. The symmetry is P4/mmm, No. 123. For the energy, the calculation gives -21.8 eV per formula unit. As for the calculated formation energy: 0.155 eV per atom. Its density of states at the Fermi level is 10.84 states/eV/f.u.

***

> Which value of energy does entry 1 give?

-27.4 eV per formula unit

***

> Which of these has the lowest energy?

SiAg2HgSe4